DFT (PBE-GGA) results for Ho4PtI5 after structural relaxation.

Calculated values
uncorrected formation energy: -1.218 eV per atom
raw total energy: -44.28 eV/f.u.
Fermi-level density of states: 3.6 states/eV/cell

Cell and atoms, written as POSCAR:
```
Ho4PtI5
1.0
9.7661 -2.0740 0.0000
9.7661 2.0740 0.0000
-1.9106 0.0000 8.7029
Ho Pt I
4 1 5
direct
0.0011 0.0011 0.2041
0.3570 0.3570 0.9266
0.6430 0.6430 0.0734
0.9989 0.9989 0.7959
0.5000 0.5000 0.0000
0.1687 0.1687 0.3405
0.1782 0.1782 0.8335
0.5000 0.5000 0.5000
0.8218 0.8218 0.1665
0.8313 0.8313 0.6595
```

---

DFT (PBE-GGA) results for Ho2PtI2 after structural relaxation.

Calculated values
uncorrected formation energy: -1.272 eV per atom
raw total energy: -24.65 eV/f.u.
Fermi-level density of states: 1.9 states/eV/cell

Cell and atoms, written as POSCAR:
```
Ho2PtI2
1.0
2.0548 1.1864 11.6811
-2.0548 1.1864 11.6811
0.0000 -2.3727 11.6811
Ho Pt I
2 1 2
direct
0.1224 0.1224 0.1224
0.8776 0.8776 0.8776
0.5000 0.5000 0.5000
0.2718 0.2718 0.2718
0.7282 0.7282 0.7282
```

---

DFT (PBE-GGA) results for Ho3PtI3 after structural relaxation.

Calculated values
uncorrected formation energy: -1.186 eV per atom
raw total energy: -32.72 eV/f.u.
Fermi-level density of states: 6.7 states/eV/cell

Cell and atoms, written as POSCAR:
```
Ho3PtI3
1.0
9.0507 0.0000 0.0000
0.0000 4.1868 0.0000
-0.5964 0.0000 12.2047
Ho Pt I
6 2 6
direct
0.0972 0.2500 0.3231
0.1320 0.2500 0.8698
0.2709 0.7500 0.1042
0.7291 0.2500 0.8958
0.8680 0.7500 0.1302
0.9028 0.7500 0.6769
0.0694 0.2500 0.0982
0.9306 0.7500 0.9018
0.1426 0.2500 0.6049
0.3527 0.7500 0.3614
0.4152 0.7500 0.8672
0.5848 0.2500 0.1328
0.6473 0.2500 0.6386
0.8574 0.7500 0.3951
```

---

The following magnetic moment values (in μB/atom) correspond, in order, to the records above: 0.0000; 0.0000; 0.0000.